A geometry-optimized NdSm3Y3 structure. Source: the Alexandria database, functional PBE-GGA.

a = 7.196 Å, b = 6.618 Å, c = 6.618 Å
α = 107.63°, β = 111.25°, γ = 111.25°
Element x y z (fractional)
Nd1 0.494 0.000 0.000
Sm1 0.019 0.559 0.559
Sm2 0.460 0.000 0.441
Y1 0.971 0.370 0.000
Y2 0.601 0.630 0.630
Y3 0.971 0.000 0.370
Sm3 0.460 0.441 0.000

## Properties
total energy = -36.51 eV per formula unit
D(E_F) = 10.832 states/eV/f.u.

---

A geometry-optimized Nd10SmY6 structure. Source: the Alexandria database, functional PBE-GGA.

a = 6.952 Å, b = 9.906 Å, c = 9.906 Å
α = 120.00°, β = 90.00°, γ = 90.00°
Element x y z (fractional)
Y1 0.312 0.000 0.369
Nd1 0.500 0.667 0.333
Nd2 0.000 0.667 0.333
Nd3 0.820 0.000 0.276
Y2 0.688 0.000 0.631
Y3 0.312 0.369 0.000
Nd4 0.180 0.276 0.276
Nd5 0.820 0.276 0.000
Y4 0.688 0.631 0.000
Y5 0.312 0.631 0.631
Nd6 0.180 0.724 0.000
Nd7 0.820 0.724 0.724
Nd8 0.000 0.333 0.667
Y6 0.688 0.369 0.369
Sm1 0.500 0.000 0.000
Nd9 0.500 0.333 0.667
Nd10 0.180 0.000 0.724

## Properties
total energy = -88.93 eV per formula unit
D(E_F) = 26.973 states/eV/f.u.

---

A geometry-optimized NdSm7Y12 structure. Source: the Alexandria database, functional PBE-GGA.

a = 9.809 Å, b = 9.809 Å, c = 9.809 Å
α = 109.47°, β = 109.47°, γ = 109.47°
Element x y z (fractional)
Y1 0.749 0.749 0.498
Sm1 0.500 0.500 0.500
Y2 0.502 0.251 0.251
Y3 0.251 0.749 0.001
Sm2 0.000 0.500 0.000
Y4 0.251 0.502 0.251
Sm3 0.000 0.000 0.500
Sm4 0.000 0.500 0.500
Y5 0.251 0.999 0.749
Sm5 0.500 0.000 0.500
Y6 0.498 0.749 0.749
Y7 0.749 0.498 0.749
Nd1 0.000 0.000 0.000
Sm6 0.500 0.000 0.000
Y8 0.001 0.251 0.749
Y9 0.251 0.251 0.502
Y10 0.999 0.749 0.251
Sm7 0.500 0.500 0.000
Y11 0.749 0.001 0.251
Y12 0.749 0.251 0.999

## Properties
total energy = -102.58 eV per formula unit
D(E_F) = 26.339 states/eV/f.u.

---

A geometry-optimized Nd4Sm3Y3 structure. Source: the Alexandria database, functional PBE-GGA.

a = 3.866 Å, b = 9.439 Å, c = 9.439 Å
α = 89.76°, β = 90.00°, γ = 90.00°
Element x y z (fractional)
Y1 0.500 0.331 0.331
Sm1 0.500 0.169 0.831
Nd1 0.000 0.130 0.130
Nd2 0.000 0.370 0.630
Nd3 0.000 0.629 0.371
Nd4 0.000 0.870 0.870
Y2 0.500 0.669 0.669
Sm2 0.000 0.998 0.497
Y3 0.500 0.831 0.169
Sm3 0.000 0.503 0.002

## Properties
total energy = -51.67 eV per formula unit
D(E_F) = 10.308 states/eV/f.u.

---

A geometry-optimized NdSm8Y3 structure. Source: the Alexandria database, functional PBE-GGA.

a = 8.976 Å, b = 8.957 Å, c = 8.976 Å
α = 75.10°, β = 121.09°, γ = 137.88°
Element x y z (fractional)
Y1 0.980 0.500 0.480
Sm1 0.407 0.413 0.336
Sm2 0.296 0.617 0.935
Sm3 0.421 0.184 0.097
Sm4 0.005 0.838 0.663
Sm5 0.922 0.587 0.993
Y2 0.546 0.146 0.653
Sm6 0.318 0.383 0.679
Sm7 0.913 0.816 0.237
Nd1 0.861 0.000 0.861
Y3 0.506 0.854 0.400
Sm8 0.824 0.162 0.167

## Properties
total energy = -60.63 eV per formula unit
D(E_F) = 18.621 states/eV/f.u.

---

A geometry-optimized Nd3SmY structure. Source: the Alexandria database, functional PBE-GGA.

a = 7.845 Å, b = 9.380 Å, c = 9.380 Å
α = 90.19°, β = 90.00°, γ = 90.00°
Element x y z (fractional)
Nd1 0.117 0.897 0.903
Nd2 0.883 0.103 0.097
Nd3 0.614 0.400 0.100
Y1 0.250 0.747 0.253
Nd4 0.617 0.603 0.597
Sm1 0.879 0.599 0.901
Nd5 0.886 0.900 0.600
Sm2 0.121 0.401 0.099
Nd6 0.114 0.100 0.400
Y2 0.250 0.247 0.753
Nd7 0.883 0.403 0.397
Sm3 0.379 0.901 0.599
Sm4 0.621 0.099 0.401
Y3 0.750 0.253 0.747
Nd8 0.383 0.397 0.403
Nd9 0.383 0.097 0.103
Y4 0.750 0.753 0.247
Nd10 0.386 0.600 0.900
Nd11 0.617 0.903 0.897
Nd12 0.117 0.597 0.603

## Properties
total energy = -24.93 eV per formula unit
D(E_F) = 6.201 states/eV/f.u.

---

Which of these has the lowest D(E_F)? Nd3SmY